VASP calculation (GGA+U) on Cs6Fe2O5 after structural relaxation.

Lattice parameters (Å, degrees): 7.5518 12.5597 7.4625 90.00 94.75 90.00
Last column: nearest neighbours and their distance in Å.
Space group C2/m (No. 12)
Asymmetric unit:
Cs (0.0000, 0.2140, 0.0000) (multiplicity 4)  4 O 2.92-3.12
Cs (0.0000, 0.2405, 0.5000) (multiplicity 4)  5 O 3.02-3.24
Cs (0.1454, 0.5000, 0.8096) (multiplicity 4)  2 O 3.07, 1 Fe 3.43
Fe (0.1979, 0.0000, 0.6853) (multiplicity 4)  3 O 1.91-1.95
O (0.0000, 0.0000, 0.5000) (multiplicity 2)  2 Fe 1.95
O (0.1990, 0.3695, 0.2261) (multiplicity 8)  1 Fe 1.91

Spin magnetization in μB per cell: 16.0
Final energy in eV for the cell shown: -114.39